(1)
A geometry-optimized In2Ga2Au structure, computed with GGA-PBE.

Properties
Total DFT energy (no corrections), eV for the cell shown: -27.46
Magnetization, μB/f.u.: 0.0
Energy of formation, meV/atom: 215

Lattice parameters (Å, degrees): 4.4286 4.4286 12.0308 90.00 90.00 90.00
Closest atoms and distances in Å follow each position.
Space group I4/mmm (No. 139)
Inequivalent atoms, fractional coordinates:
In 0.0000 0.5000 0.2500  4 Ga 2.86, 4 In 3.13
Ga 0.0000 0.0000 0.0996  1 Ga 2.40
Au 0.0000 0.0000 0.5000  8 Ga 3.35, 8 In 3.73

(2)
A geometry-optimized Cs6H3Br2Cl structure, computed with GGA-PBE.

Properties
Total DFT energy (no corrections), eV for the cell shown: -64.58
Magnetization, μB/f.u.: 0.2

Lattice parameters (Å, degrees): 21.2983 4.8525 9.7826 90.00 103.80 90.00
Closest atoms and distances in Å follow each position.
Space group C2/m (No. 12)
Inequivalent atoms, fractional coordinates:
Cs 0.0065 0.0000 0.2429  3 H 3.29-3.38, 2 Cl 3.52, 1 Br 3.59
Cs 0.1588 0.5000 0.1016  3 H 3.29-3.31, 3 Br 3.61
Cs 0.1707 0.5000 0.5629  3 H 3.28-3.39, 1 Cl 3.54, 2 Br 3.60
H 0.0000 0.5000 0.0000  6 Cs 3.29-3.38
H 0.1657 0.0000 0.3353  6 Cs 3.28-3.39
Br 0.1668 0.0000 0.8327  6 Cs 3.59-3.61
Cl 0.0000 0.5000 0.5000  6 Cs 3.52-3.54

(3)
A geometry-optimized Co2SiH structure, computed with GGA-PBE.

Properties
Total DFT energy (no corrections), eV for the cell shown: -65.52
Magnetization, μB/f.u.: 1.6

Lattice parameters (Å, degrees): 3.6057 3.6057 14.3147 90.00 90.00 120.00
Closest atoms and distances in Å follow each position.
Space group R-3m (No. 166, hexagonal axes)
Inequivalent atoms, fractional coordinates:
Co 0.0000 0.0000 0.1101  1 H 1.58
Si 0.0000 0.0000 0.5000  6 Co 2.23
H 0.0000 0.0000 0.0000  2 Co 1.58

(4)
A geometry-optimized Sr2LiTe structure, computed with GGA-PBE.

Properties
Total DFT energy (no corrections), eV for the cell shown: -23.08
Magnetization, μB/f.u.: 0.7
Uncorrected formation energy, eV/atom: -0.7807

Lattice parameters (Å, degrees): 4.6167 4.7081 12.9356 90.00 90.00 90.00
Closest atoms and distances in Å follow each position.
Space group Amm2 (No. 38)
Inequivalent atoms, fractional coordinates:
Sr 0.0000 0.0000 0.0000  4 Te 3.45, 3 Li 3.62-3.72
Sr 0.5000 0.0000 0.2928  4 Li 3.46, 3 Te 3.63-3.71
Li 0.0000 0.0000 0.7124  2 Te 2.88
Te 0.5000 0.0000 0.5797  2 Li 2.88

(5)
A geometry-optimized GaPtPb2 structure, computed with GGA-PBE.

Properties
Total DFT energy (no corrections), eV for the cell shown: -48.44
Magnetization, μB/f.u.: 0.0
Energy of formation, meV/atom: 85

Lattice parameters (Å, degrees): 3.7059 3.7059 28.3536 90.00 90.00 120.00
Closest atoms and distances in Å follow each position.
Space group R-3m (No. 166, hexagonal axes)
Inequivalent atoms, fractional coordinates:
Ga 0.0000 0.0000 0.0000  2 Pb 2.91
Pt 0.0000 0.0000 0.5000  6 Pb 2.81
Pb 0.0000 0.0000 0.1025  3 Pt 2.81, 1 Ga 2.91

(6)
A geometry-optimized Na4H5Se structure, computed with GGA-PBE.

Properties
Total DFT energy (no corrections), eV for the cell shown: -55.72
Magnetization, μB/f.u.: 0.0

Lattice parameters (Å, degrees): 7.4840 9.6009 4.8762 90.00 90.00 90.00
Closest atoms and distances in Å follow each position.
Space group Pmmn (No. 59, origin choice 2)
Inequivalent atoms, fractional coordinates:
Na 0.0301 0.2500 0.0163  5 H 2.21-2.47
Na 0.2500 0.5581 0.5489  1 H 2.32
H 0.0217 0.5055 0.0729  1 H 0.79
H 0.2500 0.7500 0.8388  4 Na 2.21-2.32
Se 0.2500 0.2500 0.5184  6 Na 2.93-2.96

(7)
A geometry-optimized Li2YMn structure, computed with GGA-PBE.

Properties
Total DFT energy (no corrections), eV for the cell shown: -72.72
Magnetization, μB/f.u.: 3.2
Energy of formation, meV/atom: 320

Lattice parameters (Å, degrees): 6.8217 6.8217 6.8217 90.00 90.00 90.00
Closest atoms and distances in Å follow each position.
Space group Fm-3m (No. 225)
Inequivalent atoms, fractional coordinates:
Li 0.2500 0.2500 0.2500  4 Mn 2.95, 4 Y 2.95
Y 0.0000 0.0000 0.0000  8 Li 2.95
Mn 0.0000 0.0000 0.5000  8 Li 2.95

(8)
A geometry-optimized La3Nd3InHg2 structure, computed with GGA-PBE.

Properties
Total DFT energy (no corrections), eV for the cell shown: -34.94
Magnetization, μB/f.u.: 0.0
Energy of formation, meV/atom: -279

Lattice parameters (Å, degrees): 9.2158 9.2158 3.8532 90.00 90.00 120.00
Closest atoms and distances in Å follow each position.
Space group P-62m (No. 189)
Inequivalent atoms, fractional coordinates:
La 0.0000 0.7110 0.0000  2 In 3.29, 2 Hg 3.30, 2 Nd 3.57
Nd 0.0000 0.3847 0.5000  4 Hg 3.45, 1 In 3.55, 6 La 3.57-3.73, 2 Nd 3.85
In 0.0000 0.0000 0.5000  6 La 3.29, 3 Nd 3.55
Hg 0.3333 0.6667 0.0000  3 La 3.30, 6 Nd 3.45

(9)
A geometry-optimized Np6SbSe12 structure, computed with GGA-PBE.

Properties
Total DFT energy (no corrections), eV for the cell shown: -426.40
Magnetization, μB/f.u.: 21.0
Uncorrected formation energy, eV/atom: -0.9764

Lattice parameters (Å, degrees): 12.6624 12.6624 11.5200 90.00 90.00 120.00
Closest atoms and distances in Å follow each position.
Space group R-3 (No. 148, hexagonal axes)
Inequivalent atoms, fractional coordinates:
Np 0.0477 0.2677 0.1450  7 Se 2.87-3.08
Sb 0.0000 0.0000 0.5000  6 Se 2.78
Se 0.0343 0.2161 0.8930  4 Np 2.87-2.96
Se 0.0544 0.2159 0.3885  1 Sb 2.78, 3 Np 2.87-3.08

(10)
A geometry-optimized Tb6Sm2Dy3Pb structure, computed with GGA-PBE.

Properties
Total DFT energy (no corrections), eV for the cell shown: -110.95
Magnetization, μB/f.u.: 0.0
Energy of formation, meV/atom: -62

Lattice parameters (Å, degrees): 6.1150 10.5994 11.7701 90.00 100.04 90.00
Closest atoms and distances in Å follow each position.
Space group C2/m (No. 12)
Inequivalent atoms, fractional coordinates:
Tb 0.2441 0.0000 0.2486  6 Tb 3.47-3.57, 3 Dy 3.53-3.55, 1 Pb 3.54, 2 Sm 3.56
Tb 0.2463 0.1636 0.7499  6 Tb 3.47-3.57, 1 Pb 3.52, 3 Dy 3.53-3.56, 2 Sm 3.56
Sm 0.0000 0.3340 0.5000  3 Sm 3.52-3.54, 3 Pb 3.53-3.54, 6 Tb 3.56
Dy 0.0000 0.1676 0.0000  6 Dy 3.52-3.55, 6 Tb 3.53-3.56
Dy 0.0000 0.5000 0.0000  6 Dy 3.52-3.54, 6 Tb 3.53-3.55
Pb 0.0000 0.0000 0.5000  6 Tb 3.52-3.54, 6 Sm 3.53-3.54

(11)
A geometry-optimized Ba2BeSn structure, computed with GGA-PBE.

Properties
Total DFT energy (no corrections), eV for the cell shown: -40.81
Magnetization, μB/f.u.: 0.0
Energy of formation, meV/atom: 343

Lattice parameters (Å, degrees): 9.2205 9.2205 6.6564 90.00 90.00 90.00
Closest atoms and distances in Å follow each position.
Space group I-42d (No. 122)
Inequivalent atoms, fractional coordinates:
Ba 0.2036 0.2500 0.1250  2 Be 3.09, 2 Ba 3.44
Be 0.0000 0.0000 0.0000  4 Ba 3.09, 2 Sn 3.33
Sn 0.0000 0.0000 0.5000  2 Be 3.33, 4 Ba 3.67

(12)
A geometry-optimized Pr2HoTl structure, computed with GGA-PBE.

Properties
Total DFT energy (no corrections), eV for the cell shown: -68.80
Magnetization, μB/f.u.: 0.0
Energy of formation, meV/atom: -174

Lattice parameters (Å, degrees): 6.8798 8.8415 8.2606 90.00 90.00 90.00
Closest atoms and distances in Å follow each position.
Space group Imma (No. 74)
Inequivalent atoms, fractional coordinates:
Pr 0.2500 0.0486 0.2500  3 Pr 3.44-3.56, 4 Ho 3.50-3.60, 4 Tl 3.52-3.55
Ho 0.0000 0.2500 0.5666  3 Tl 3.15-3.44, 4 Pr 3.50
Tl 0.0000 0.2500 0.9476  3 Ho 3.15-3.44, 4 Pr 3.52

(13)
A geometry-optimized ScCoRu structure, computed with GGA-PBE.

Properties
Total DFT energy (no corrections), eV for the cell shown: -45.72
Magnetization, μB/f.u.: 0.0
Energy of formation, meV/atom: -49

Lattice parameters (Å, degrees): 2.8072 2.8072 11.3026 90.00 90.00 90.00
Closest atoms and distances in Å follow each position.
Space group I4mm (No. 107)
Inequivalent atoms, fractional coordinates:
Sc 0.0000 0.0000 0.0000  4 Sc 2.81, 4 Co 2.82, 4 Ru 2.92
Co 0.0000 0.0000 0.6773  4 Ru 2.49
Ru 0.0000 0.0000 0.3101  4 Co 2.49

(14)
A geometry-optimized Li5La2Pd12 structure, computed with GGA-PBE.

Properties
Total DFT energy (no corrections), eV for the cell shown: -275.35
Magnetization, μB/f.u.: 0.0
Energy of formation, meV/atom: -529

Lattice parameters (Å, degrees): 8.9845 8.9845 13.7197 90.00 90.00 120.00
Closest atoms and distances in Å follow each position.
Space group R-3m (No. 166, hexagonal axes)
Inequivalent atoms, fractional coordinates:
Li 0.0000 0.0000 0.0886  1 Li 2.43
Li 0.0000 0.5000 0.5000  8 Pd 2.55-2.68, 2 Li 2.81
La 0.0000 0.0000 0.3488  15 Pd 3.12-3.47
Pd 0.0000 0.3080 0.0000  2 Li 2.68, 6 Pd 2.76-2.79
Pd 0.0115 0.5058 0.8427  3 Li 2.55-2.78, 6 Pd 2.70-2.79

(15)
A geometry-optimized RbRh2Pb2 structure, computed with GGA-PBE.

Properties
Total DFT energy (no corrections), eV for the cell shown: -45.05
Magnetization, μB/f.u.: 0.0
Energy of formation, meV/atom: 113

Lattice parameters (Å, degrees): 8.4975 8.4975 3.1689 90.00 90.00 90.00
Closest atoms and distances in Å follow each position.
Space group P4/mbm (No. 127)
Inequivalent atoms, fractional coordinates:
Rb 0.0000 0.0000 0.0000  2 Rb 3.17, 4 Rh 3.28
Rh 0.1402 0.3598 0.0000  6 Pb 2.91-3.01, 2 Rh 3.17
Pb 0.1466 0.6466 0.5000  6 Rh 2.91-3.01, 2 Pb 3.17

(16)
A geometry-optimized RbPt structure, computed with GGA-PBE.

Properties
Total DFT energy (no corrections), eV for the cell shown: -48.13
Magnetization, μB/f.u.: 1.0
Energy of formation, meV/atom: 496

Lattice parameters (Å, degrees): 9.9651 9.9651 9.9651 90.00 90.00 90.00
Closest atoms and distances in Å follow each position.
Space group I-43m (No. 217)
Inequivalent atoms, fractional coordinates:
Rb 0.2083 0.2083 0.2083  4 Pt 3.41-3.42
Pt 0.0944 0.0944 0.9056  3 Pt 2.66

(17)
A geometry-optimized CaCe5Au6 structure, computed with GGA-PBE.

Properties
Total DFT energy (no corrections), eV for the cell shown: -117.76
Magnetization, μB/f.u.: 5.1
Energy of formation, meV/atom: -629

Lattice parameters (Å, degrees): 5.1951 7.4000 15.6241 90.00 90.00 90.00
Closest atoms and distances in Å follow each position.
Space group Immm (No. 71)
Inequivalent atoms, fractional coordinates:
Ca 0.0000 0.0000 0.0000  8 Au 3.15-3.21
Ce 0.0000 0.0000 0.3393  8 Au 3.16-3.22
Ce 0.0000 0.5000 0.0000  8 Au 3.23-3.24, 4 Ce 3.61
Ce 0.0000 0.5000 0.3326  8 Au 3.17
Au 0.0000 0.2460 0.1692  7 Ce 3.17-3.24, 1 Ca 3.21
Au 0.0000 0.2589 0.5000  2 Ca 3.15, 6 Ce 3.16-3.23

(18)
A geometry-optimized Sc4C2NO structure, computed with GGA-PBE.

Properties
Total DFT energy (no corrections), eV for the cell shown: -137.62
Magnetization, μB/f.u.: 0.0
Uncorrected formation energy, eV/atom: -1.4692

Lattice parameters (Å, degrees): 4.5860 4.5860 9.1913 90.00 90.00 90.00
Closest atoms and distances in Å follow each position.
Space group I-4m2 (No. 119)
Inequivalent atoms, fractional coordinates:
Sc 0.0000 0.0000 0.2454  1 N 2.26, 2 O 2.29, 3 C 2.29-2.34
Sc 0.0000 0.5000 0.0005  3 C 2.29-2.30, 2 N 2.29, 1 O 2.29
C 0.0000 0.0000 0.5000  6 Sc 2.29-2.34
C 0.0000 0.5000 0.7500  6 Sc 2.29-2.30
N 0.0000 0.0000 0.0000  6 Sc 2.26-2.29
O 0.0000 0.5000 0.2500  6 Sc 2.29

(19)
A geometry-optimized NdGdSc structure, computed with GGA-PBE.

Properties
Total DFT energy (no corrections), eV for the cell shown: -25.00
Magnetization, μB/f.u.: 7.3
Energy of formation, meV/atom: 59

Lattice parameters (Å, degrees): 3.5240 3.5240 8.5112 90.00 90.00 120.00
Closest atoms and distances in Å follow each position.
Space group P3m1 (No. 156)
Inequivalent atoms, fractional coordinates:
Nd 0.0000 0.0000 0.0000  3 Sc 3.42, 6 Nd 3.52, 3 Gd 3.66
Gd 0.3333 0.6667 0.6419  3 Sc 3.39, 6 Gd 3.52, 3 Nd 3.66
Sc 0.6667 0.3333 0.3230  3 Gd 3.39, 3 Nd 3.42, 6 Sc 3.52

(20)
A geometry-optimized KBa3 structure, computed with GGA-PBE.

Properties
Total DFT energy (no corrections), eV for the cell shown: -25.64
Magnetization, μB/f.u.: 0.0
Energy of formation, meV/atom: 114

Lattice parameters (Å, degrees): 10.1991 10.1991 10.1991 90.00 90.00 90.00
Closest atoms and distances in Å follow each position.
Space group Fm-3m (No. 225)
Inequivalent atoms, fractional coordinates:
K 0.0000 0.0000 0.0000  8 Ba 4.42
Ba 0.0000 0.0000 0.5000  8 Ba 4.42
Ba 0.2500 0.2500 0.2500  4 Ba 4.42, 4 K 4.42